(1)
ZrScPt2, optimized geometry, DFT GGA-PBE; magnetization = 0.00 μB per formula unit; formation enthalpy at 0 K = -817 meV per atom
1.0
0.000 3.262 3.262
3.262 0.000 3.262
3.262 3.262 0.000
Zr Sc Pt
1 1 2
Direct
0.000 0.000 0.000 Zr
0.750 0.750 0.750 Sc
0.250 0.250 0.250 Pt
0.500 0.500 0.500 Pt

(2)
BPW2, optimized geometry, DFT GGA-PBE; magnetization = 0.00 μB per formula unit; uncorrected energy = -9.74 eV/atom
1.0
3.282 0.000 0.000
-1.641 2.842 0.000
0.000 0.000 11.222
B P W
2 2 4
Direct
0.000 0.000 0.000 B
0.000 0.000 0.500 B
0.333 0.667 0.250 P
0.667 0.333 0.750 P
0.333 0.667 0.603 W
0.333 0.667 0.897 W
0.667 0.333 0.103 W
0.667 0.333 0.397 W

(3)
InCoCuBi, optimized geometry, DFT GGA-PBE; magnetization = 0.27 μB per formula unit; distance to the lowest polymorph of the same formula = 0 meV/atom
1.0
0.000 3.303 3.303
3.303 0.000 3.303
3.303 3.303 0.000
In Co Cu Bi
1 1 1 1
Direct
0.000 0.000 0.000 In
0.750 0.750 0.750 Co
0.250 0.250 0.250 Cu
0.500 0.500 0.500 Bi

(4)
PuScPd2, optimized geometry, DFT GGA-PBE; magnetization = 5.86 μB per formula unit; formation enthalpy at 0 K = -718 meV per atom
1.0
3.321 0.000 0.000
0.000 3.321 0.000
0.000 0.000 7.176
Pu Sc Pd
1 1 2
Direct
0.000 0.000 0.000 Pu
0.000 0.000 0.500 Sc
0.500 0.500 0.285 Pd
0.500 0.500 0.715 Pd

(5)
DyTaRe, optimized geometry, DFT GGA-PBE; magnetization = 0.01 μB per formula unit; formation enthalpy at 0 K = 1712 meV per atom
1.0
0.000 3.214 3.214
3.214 0.000 3.214
3.214 3.214 0.000
Dy Ta Re
1 1 1
Direct
0.000 0.000 0.000 Dy
0.250 0.250 0.250 Ta
0.750 0.750 0.750 Re

(6)
NdGe2PtAu, optimized geometry, DFT GGA-PBE; magnetization = 0.01 μB per formula unit; distance to the lowest polymorph of the same formula = 91 meV/atom
1.0
4.396 0.000 0.000
0.000 4.396 0.000
0.000 0.000 10.529
Nd Ge Pt Au
2 4 2 2
Direct
0.250 0.250 0.237 Nd
0.750 0.750 0.763 Nd
0.250 0.250 0.879 Ge
0.250 0.750 0.500 Ge
0.750 0.250 0.500 Ge
0.750 0.750 0.121 Ge
0.250 0.750 0.000 Pt
0.750 0.250 0.000 Pt
0.250 0.250 0.640 Au
0.750 0.750 0.360 Au

(7)
Nb2O, optimized geometry, DFT GGA-PBE; magnetization = 0.00 μB per formula unit; uncorrected energy = -9.44 eV/atom
1.0
5.372 0.000 0.000
0.000 5.372 0.000
0.000 0.000 2.920
Nb O
4 2
Direct
0.222 0.222 0.000 Nb
0.278 0.722 0.500 Nb
0.722 0.278 0.500 Nb
0.778 0.778 0.000 Nb
0.000 0.000 0.500 O
0.500 0.500 0.000 O

(8)
InCuTe2, optimized geometry, DFT GGA-PBE; uncorrected energy = -3.46 eV/atom
1.0
-3.144 3.144 6.283
3.144 -3.144 6.283
3.144 3.144 -6.283
In Cu Te
2 2 4
Direct
0.000 0.000 0.000 In
0.750 0.250 0.500 In
0.250 0.750 0.500 Cu
0.500 0.500 0.000 Cu
0.159 0.625 0.034 Te
0.375 0.409 0.534 Te
0.591 0.125 0.966 Te
0.875 0.841 0.466 Te